The following is a PBE calculation of a relaxed structure of Sc4CoSN2, from the Open Quantum Materials Database.

a = 3.2590 Å, b = 3.2590 Å, c = 12.2484 Å
α = 90.00°, β = 90.00°, γ = 120.00°
Space group P-6m2 (No. 187)
Symmetry-distinct sites (fractional):
Sc: 0.0000 0.0000 0.1457 (multiplicity 2)
Sc: 0.3333 0.6667 0.3486 (multiplicity 2)
Co: 0.0000 0.0000 0.5000 (multiplicity 1)
S: 0.3333 0.6667 0.0000 (multiplicity 1)
N: 0.6667 0.3333 0.2368 (multiplicity 2)

* relative energy among the computed polymorphs: 2.3 meV/atom
* final energy: -8.002 eV per atom